Record 1
Compound: Zr4HgSe8
Source: Alexandria via LeMat-Bulk
Functional: PBE
Structure: optimized geometry

abc: 7.5995 7.5995 26.5979
angles: 90.00 90.00 120.00
Space group R-3m (No. 166, hexagonal axes)
Inequivalent atoms, fractional coordinates:
Zr 0.0000 0.0000 0.0000 x3
Zr 0.0000 0.5000 0.0000 x9
Hg 0.0000 0.0000 0.5000 x3
Se 0.0000 0.0000 0.2734 x6
Se 0.0002 0.5001 0.2733 x18

Computed properties:
Raw total energy ... -6.020 eV/atom
Total magnetization ... 0.000 μB/f.u.



Record 2
Compound: Li3ZnPd6
Source: Alexandria via LeMat-Bulk
Functional: PBE
Structure: optimized geometry

abc: 7.4007 4.3572 9.1817
angles: 90.00 106.76 90.00
Space group P2_1/m (No. 11)
Inequivalent atoms, fractional coordinates:
Li 0.0410 0.2500 0.3987 x2
Li 0.1459 0.7500 0.1918 x2
Li 0.2595 0.2500 0.9874 x2
Zn 0.4405 0.2500 0.6071 x2
Pd 0.0386 0.7500 0.8996 x2
Pd 0.1333 0.2500 0.6915 x2
Pd 0.2539 0.7500 0.4864 x2
Pd 0.3427 0.2500 0.3030 x2
Pd 0.3451 0.7500 0.7951 x2
Pd 0.4348 0.7500 0.1011 x2

Computed properties:
Raw total energy ... -4.199 eV/atom
Total magnetization ... 0.000 μB/f.u.
Excess energy over the best structure of this formula in the dataset ... 0 meV/atom
ΔH_f (0 K) ... -0.382 eV/atom